A relaxed structure of KAlRu2, computed with PBE-GGA.

Cell lengths 4.400, 4.400, 7.372 Å; angles 85.86, 85.86, 37.62 degrees
Positions (direct):
1 Ru 0.987 0.987 0.109
2 Ru 0.247 0.247 0.231
3 K 0.748 0.748 0.759
4 Al 0.518 0.518 0.401

Computed properties:
N(E_F): 2.77 states/eV/f.u.
Energy of formation: 0.37 eV/atom
Symmetry: Cm
Magnetization: 0.0 Bohr magnetons per cell

A relaxed structure of Pt2PbO, computed with PBE-GGA.

Cell lengths 4.503, 4.503, 4.503 Å; angles 60.00, 60.00, 60.00 degrees
Positions (direct):
1 Pb 0.500 0.500 0.500
2 O 0.000 0.000 0.000
3 Pt 0.250 0.250 0.250
4 Pt 0.750 0.750 0.750

Computed properties:
N(E_F): 0.22 states/eV/f.u.
ΔE_f (raw): 141 kJ/mol of formula units
Symmetry: Fm-3m
Magnetization: 0.0 Bohr magnetons per cell
Distance to the lowest polymorph of the same formula: 158 kJ/mol of formula units

A relaxed structure of NaInAs2Se, computed with PBE-GGA.

Cell lengths 5.151, 5.151, 5.146 Å; angles 90.00, 90.00, 90.00 degrees
Positions (direct):
1 Na 0.000 0.000 0.000
2 As 0.000 0.500 0.000
3 As 0.500 0.000 0.000
4 Se 0.000 0.000 0.500
5 In 0.500 0.500 0.500

Computed properties:
N(E_F): 5.65 states/eV/f.u.
ΔE_f (raw): 346 kJ/mol of formula units
Symmetry: P4/mmm
Magnetization: 0.0 Bohr magnetons per cell
Distance to the lowest polymorph of the same formula: 178 kJ/mol of formula units

A relaxed structure of Ca2ZnCr2, computed with PBE-GGA.

Cell lengths 6.923, 6.923, 6.923 Å; angles 141.92, 141.92, 54.95 degrees
Positions (direct):
1 Ca 0.250 0.750 0.500
2 Ca 0.750 0.250 0.500
3 Zn 0.000 0.000 0.000
4 Cr 0.570 0.570 0.000
5 Cr 0.430 0.430 0.000

Computed properties:
N(E_F): 1.97 states/eV/f.u.
Energy of formation: 1.00 eV/atom
Symmetry: I4/mmm
Magnetization: 0.0 Bohr magnetons per cell

A relaxed structure of Ac3Al8In, computed with PBE-GGA.

Cell lengths 5.871, 5.871, 10.113 Å; angles 73.13, 73.13, 60.00 degrees
Positions (direct):
1 Ac 0.375 0.375 0.876
2 Ac 0.995 0.995 0.014
3 Ac 0.504 0.504 0.488
4 Al 0.942 0.435 0.187
5 Al 0.436 0.939 0.686
6 Al 0.435 0.435 0.187
7 Al 0.939 0.939 0.686
8 Al 0.189 0.189 0.432
9 Al 0.686 0.686 0.941
10 Al 0.435 0.942 0.187
11 Al 0.939 0.436 0.686
12 In 0.874 0.874 0.378

Computed properties:
N(E_F): 8.17 states/eV/f.u.
Energy of formation: -0.25 eV/atom
Symmetry: R3m
Magnetization: 0.0 Bohr magnetons per cell

A relaxed structure of Ca2MgIr, computed with PBE-GGA.

Cell lengths 10.067, 10.067, 7.572 Å; angles 48.34, 48.34, 90.00 degrees
Positions (direct):
1 Ca 0.776 0.125 0.250
2 Ca 0.974 0.625 0.250
3 Ca 0.375 0.224 0.750
4 Ca 0.875 0.026 0.750
5 Ir 0.000 0.000 0.000
6 Ir 0.750 0.250 0.500
7 Mg 0.500 0.500 0.000
8 Mg 0.250 0.750 0.500

Computed properties:
N(E_F): 2.60 states/eV/f.u.
Energy of formation: -0.06 eV/atom
Symmetry: I-42d
Magnetization: 0.0 Bohr magnetons per cell

A relaxed structure of U2FeNi9, computed with PBE-GGA.

Cell lengths 3.792, 3.792, 10.987 Å; angles 90.00, 90.00, 90.00 degrees
Positions (direct):
1 U 0.000 0.000 0.320
2 U 0.000 0.000 0.680
3 Fe 0.000 0.000 0.000
4 Ni 0.500 0.500 0.000
5 Ni 0.500 0.500 0.326
6 Ni 0.500 0.500 0.674
7 Ni 0.500 0.000 0.151
8 Ni 0.500 0.000 0.500
9 Ni 0.500 0.000 0.849
10 Ni 0.000 0.500 0.151
11 Ni 0.000 0.500 0.500
12 Ni 0.000 0.500 0.849

Computed properties:
N(E_F): 18.13 states/eV/f.u.
Energy of formation: -0.08 eV/atom
Symmetry: P4/mmm
Magnetization: 7.4 Bohr magnetons per cell
Distance to the lowest polymorph of the same formula: 0 kJ/mol of formula units

A relaxed structure of FeIrAu2, computed with PBE-GGA.

Cell lengths 3.663, 2.879, 6.708 Å; angles 64.47, 90.00, 90.00 degrees
Positions (direct):
1 Au 0.000 0.011 0.989
2 Au 0.500 0.235 0.265
3 Fe 0.000 0.475 0.526
4 Ir 0.500 0.780 0.720

Computed properties:
N(E_F): 3.30 states/eV/f.u.
Energy of formation: 0.18 eV/atom
Symmetry: Pm
Magnetization: 3.7 Bohr magnetons per cell
Distance to the lowest polymorph of the same formula: 22 kJ/mol of formula units